Computed, not measured: CaReN2F after structural relaxation at the PBE-GGA level of DFT.

Cell and atoms, written as CIF:
```
data_CaReN2F
_cell_length_a 3.9290
_cell_length_b 3.9290
_cell_length_c 4.1761
_cell_angle_alpha 90.00
_cell_angle_beta 90.00
_cell_angle_gamma 90.00
_space_group_name_H-M_alt 'P 4/m m m'
_space_group_IT_number 123
_space_group_name_Hall '-P 4 2'
loop_
_atom_site_label
_atom_site_fract_x
_atom_site_fract_y
_atom_site_fract_z
Ca1 0.0000 0.0000 0.0000
Re1 0.5000 0.5000 0.5000
N1 0.0000 0.5000 0.5000
F1 0.5000 0.5000 0.0000
```

Summary:
**E**: -37.22 eV per cell
**Density of states at the Fermi level**: 1.5 states/eV/f.u.
**Total moment**: 0.0 μB/f.u.
**Formation energy (no corrections)**: -0.85 eV per atom

=====

Computed, not measured: Ti5Al2Fe2W after structural relaxation at the PBE-GGA level of DFT.

Cell and atoms, written as CIF:
```
data_Ti5Al2Fe2W
_cell_length_a 9.9950
_cell_length_b 9.9950
_cell_length_c 3.1563
_cell_angle_alpha 90.00
_cell_angle_beta 90.00
_cell_angle_gamma 90.00
_space_group_name_H-M_alt 'P 4/m b m'
_space_group_IT_number 127
_space_group_name_Hall '-P 4 2ab'
loop_
_atom_site_label
_atom_site_fract_x
_atom_site_fract_y
_atom_site_fract_z
Ti1 0.0000 0.5000 0.0000
Ti2 0.0706 0.2026 0.0000
Al1 0.1736 0.6736 0.5000
Fe1 0.1284 0.3716 0.5000
W1 0.0000 0.0000 0.5000
```

Summary:
**E**: -155.41 eV per cell
**Energy relative to the elements**: -0.087 eV per atom
**Density of states at the Fermi level**: 9.3 states/eV/f.u.
**Total moment**: 0.0 μB/f.u.

=====

Computed, not measured: NaAlCuAu6 after structural relaxation at the PBE-GGA level of DFT.

Cell and atoms, written as CIF:
```
data_NaAlCuAu6
_cell_length_a 7.1650
_cell_length_b 8.9375
_cell_length_c 11.1629
_cell_angle_alpha 90.00
_cell_angle_beta 90.00
_cell_angle_gamma 90.00
_space_group_name_H-M_alt 'I m m a'
_space_group_IT_number 74
_space_group_name_Hall '-I 2b 2'
loop_
_atom_site_label
_atom_site_fract_x
_atom_site_fract_y
_atom_site_fract_z
Na1 0.0000 0.2500 0.2100
Al1 0.0000 0.0000 0.0000
Cu1 0.2500 0.2500 0.7500
Au1 0.0000 0.2500 0.4789
Au2 0.0000 0.2500 0.9101
Au3 0.1988 0.0026 0.6281
```

Summary:
**E**: -117.98 eV per cell
**Energy relative to the elements**: -0.075 eV per atom
**Density of states at the Fermi level**: 2.6 states/eV/f.u.
**Total moment**: 0.0 μB/f.u.

=====

Computed, not measured: Tm6TlPd after structural relaxation at the PBE-GGA level of DFT.

Cell and atoms, written as CIF:
```
data_Tm6TlPd
_cell_length_a 6.8086
_cell_length_b 11.5151
_cell_length_c 6.7351
_cell_angle_alpha 90.00
_cell_angle_beta 115.54
_cell_angle_gamma 90.00
_space_group_name_H-M_alt 'C 1 2/m 1'
_space_group_IT_number 12
loop_
_space_group_symop_operation_xyz
'x,y,z'
'-x,-y,-z'
'-x,y,-z'
'x,-y,z'
'x+1/2,y+1/2,z'
'-x+1/2,-y+1/2,-z'
'-x+1/2,y+1/2,-z'
'x+1/2,-y+1/2,z'
loop_
_atom_site_label
_atom_site_fract_x
_atom_site_fract_y
_atom_site_fract_z
Tm1 0.2241 0.2019 0.2422
Tm2 0.2310 0.0000 0.7723
Tl1 0.0000 0.5000 0.5000
Pd1 0.0000 0.0000 0.0000
```

Summary:
**E**: -69.81 eV per cell
**Energy relative to the elements**: -0.065 eV per atom
**Density of states at the Fermi level**: 9.3 states/eV/f.u.
**Total moment**: 0.0 μB/f.u.

=====

Computed, not measured: LiTaP2 after structural relaxation at the PBE-GGA level of DFT.

Cell and atoms, written as CIF:
```
data_LiTaP2
_cell_length_a 3.5259
_cell_length_b 3.5286
_cell_length_c 5.0174
_cell_angle_alpha 90.00
_cell_angle_beta 90.25
_cell_angle_gamma 90.00
_space_group_name_H-M_alt 'P 1 m 1'
_space_group_IT_number 6
loop_
_space_group_symop_operation_xyz
'x,y,z'
'x,-y,z'
loop_
_atom_site_label
_atom_site_fract_x
_atom_site_fract_y
_atom_site_fract_z
Li1 0.0000 0.0000 0.0000
Ta1 0.4998 0.5000 0.3546
P1 0.0006 0.0000 0.4952
P2 0.5004 0.5000 0.8910
```

Summary:
**E**: -26.28 eV per cell
**Energy relative to the elements**: -0.423 eV per atom
**Density of states at the Fermi level**: 1.7 states/eV/f.u.
**Total moment**: 0.0 μB/f.u.

=====

Computed, not measured: SnOsN3 after structural relaxation at the PBE-GGA level of DFT.

Cell and atoms, written as CIF:
```
data_SnOsN3
_cell_length_a 3.9252
_cell_length_b 3.9252
_cell_length_c 3.9252
_cell_angle_alpha 90.00
_cell_angle_beta 90.00
_cell_angle_gamma 90.00
_space_group_name_H-M_alt 'P m -3 m'
_space_group_IT_number 221
_space_group_name_Hall '-P 4 2 3'
loop_
_atom_site_label
_atom_site_fract_x
_atom_site_fract_y
_atom_site_fract_z
Sn1 0.0000 0.0000 0.0000
Os1 0.5000 0.5000 0.5000
N1 0.0000 0.5000 0.5000
```

Summary:
**E**: -35.85 eV per cell
**Density of states at the Fermi level**: 3.3 states/eV/f.u.
**Total moment**: 0.0 μB/f.u.
**Formation energy (no corrections)**: 0.87 eV per atom

=====

Computed, not measured: KPuAuSe2 after structural relaxation at the PBE-GGA level of DFT.

Cell and atoms, written as CIF:
```
data_KPuAuSe2
_cell_length_a 6.3670
_cell_length_b 15.4474
_cell_length_c 5.9187
_cell_angle_alpha 90.00
_cell_angle_beta 90.00
_cell_angle_gamma 90.00
_space_group_name_H-M_alt 'C m m e'
_space_group_IT_number 67
_space_group_name_Hall '-C 2a 2'
loop_
_atom_site_label
_atom_site_fract_x
_atom_site_fract_y
_atom_site_fract_z
K1 0.0000 0.2500 0.2263
Pu1 0.2500 0.0000 0.5000
Au1 0.0000 0.0000 0.0000
Se1 0.0000 0.1291 0.7415
```

Summary:
**E**: -120.99 eV per cell
**Density of states at the Fermi level**: 7.2 states/eV/f.u.
**Total moment**: 6.0 μB/f.u.
**Formation energy (no corrections)**: -0.91 eV per atom